MgSn2BPt | PBE | optimized geometry

As for the formation enthalpy at 0 K: 115.4 kJ/mol of atoms. The calculation puts the calculated density at 6.69 Mg/m³.

It has space group P4/mmm (No. 123), with a = 5.286 Å, b = 5.286 Å, c = 4.151 Å, α = 90.00°, β = 90.00° and γ = 90.00°. The inequivalent atoms are Mg at (0.000, 0.000, 0.000), Sn at (0.000, 0.500, 0.000), B at (0.000, 0.000, 0.500) and Pt at (0.500, 0.500, 0.500).


NaMnTeN2 | PBE | optimized geometry

For the distance to the lowest polymorph of the same formula, the calculation gives 46.80 kcal/mol of atoms. The calculation puts the calculated density at 4.26 Mg/m³. The value obtained for the uncorrected formation energy is 2589 meV/atom.

It has space group P4/mmm (No. 123), with a = 4.077 Å, b = 4.077 Å, c = 5.472 Å, α = 90.00°, β = 90.00° and γ = 90.00°. The inequivalent atoms are Na at (0.000, 0.000, 0.000), Mn at (0.500, 0.500, 0.500), Te at (0.000, 0.000, 0.500) and N at (0.000, 0.500, 0.000).


Na3TaIn3S8 | PBE | optimized geometry

The calculation puts the calculated density at 4.12 Mg/m³. The value obtained for the uncorrected formation energy is -865 meV/atom.

It has space group C2/m (No. 12), with a = 13.249 Å, b = 7.643 Å, c = 8.089 Å, α = 90.00°, β = 123.05° and γ = 90.00°. The inequivalent atoms are Na at (0.000, 0.000, 0.000), Na at (0.250, 0.250, 0.000), Ta at (0.000, 0.000, 0.500), In at (0.000, 0.500, 0.500), In at (0.250, 0.250, 0.500), S at (0.008, 0.233, 0.291), S at (0.225, 0.000, 0.709) and S at (0.241, 0.500, 0.719).


RbPb2S3 | PBE | optimized geometry

The calculation puts the calculated density at 5.47 Mg/m³. The value obtained for the uncorrected formation energy is -559 meV/atom.

It has space group Pmc2_1 (No. 26), with a = 3.953 Å, b = 11.781 Å, c = 7.775 Å, α = 90.00°, β = 90.00° and γ = 90.00°. The inequivalent atoms are Rb at (0.000, 0.137, 0.000), Pb at (0.000, 0.217, 0.502), Pb at (0.500, 0.489, 0.025), S at (0.000, 0.397, 0.721), S at (0.500, 0.085, 0.647) and S at (0.500, 0.306, 0.264).


LaErIn2Au4 | PBE | optimized geometry

As for the formation enthalpy at 0 K: -67.1 kJ/mol of atoms. The calculation puts the calculated density at 12.23 Mg/m³.

It has space group R-3m (No. 166, hexagonal axes), with a = 4.9667 Å, b = 4.9667 Å, c = 25.2395 Å, α = 90.00°, β = 90.00° and γ = 120.00°. The inequivalent atoms are La at (0.0000, 0.0000, 0.0000), Er at (0.0000, 0.0000, 0.5000), In at (0.0000, 0.0000, 0.2497), Au at (0.0000, 0.0000, 0.1317) and Au at (0.0000, 0.0000, 0.3844).


KBe4Se3O12 | PBE | optimized geometry

The calculation puts the calculated density at 3.68 Mg/m³. The value obtained for the uncorrected formation energy is -1314 meV/atom.

It has space group R32 (No. 155, hexagonal axes), with a = 9.9436 Å, b = 9.9436 Å, c = 7.9734 Å, α = 90.00°, β = 90.00° and γ = 120.00°. The inequivalent atoms are K at (0.0000, 0.0000, 0.0000), Be at (0.0000, 0.0000, 0.5000), Be at (0.0000, 0.4340, 0.5000), Se at (0.0000, 0.5510, 0.0000), O at (0.0000, 0.5905, 0.5000), O at (0.0000, 0.8420, 0.5000) and O at (0.0450, 0.2241, 0.2156).


KCo2Ni | PBE | optimized geometry

For the distance to the lowest polymorph of the same formula, the calculation gives 15.42 kcal/mol of atoms. As for the formation enthalpy at 0 K: 122.7 kJ/mol of atoms. The calculation puts the calculated density at 5.65 Mg/m³.

It has space group I4/mmm (No. 139), with a = 3.816 Å, b = 3.816 Å, c = 8.707 Å, α = 90.00°, β = 90.00° and γ = 90.00°. The inequivalent atoms are K at (0.000, 0.000, 0.000), Co at (0.000, 0.500, 0.250) and Ni at (0.000, 0.000, 0.500).


NaHo2O | PBE | optimized geometry

The calculation puts the calculated density at 6.20 Mg/m³. The value obtained for the uncorrected formation energy is -1143 meV/atom.

It has space group R-3m (No. 166, hexagonal axes), with a = 3.4650 Å, b = 3.4650 Å, c = 28.4860 Å, α = 90.00°, β = 90.00° and γ = 120.00°. The inequivalent atoms are Na at (0.0000, 0.0000, 0.0000), Ho at (0.0000, 0.0000, 0.1199) and O at (0.0000, 0.0000, 0.5000).


CuNiGe2Se6 | PBE | optimized geometry

The calculation puts the calculated density at 5.49 Mg/m³. The value obtained for the uncorrected formation energy is -143 meV/atom.

It has space group C2/c (No. 15), with a = 12.488 Å, b = 11.360 Å, c = 6.460 Å, α = 90.00°, β = 101.71° and γ = 90.00°. The inequivalent atoms are Cu at (0.000, 0.248, 0.250), Ni at (0.000, 0.092, 0.750), Ge at (0.192, 0.408, 0.796), Se at (0.099, 0.075, 0.112), Se at (0.120, 0.411, 0.118) and Se at (0.121, 0.227, 0.608).


ReAgTe2 | PBE | optimized geometry

For the distance to the lowest polymorph of the same formula, the calculation gives 19.89 kcal/mol of atoms. The calculation puts the calculated density at 10.52 Mg/m³. The value obtained for the uncorrected formation energy is 1177 meV/atom.

It has space group F-43m (No. 216), with a = 7.026 Å, b = 7.026 Å, c = 7.026 Å, α = 90.00°, β = 90.00° and γ = 90.00°. The inequivalent atoms are Re at (0.000, 0.000, 0.000), Ag at (0.250, 0.250, 0.750), Te at (0.000, 0.000, 0.500) and Te at (0.250, 0.250, 0.250).


TbZnCu | PBE | optimized geometry

As for the formation enthalpy at 0 K: -12.8 kJ/mol of atoms. The calculation puts the calculated density at 7.47 Mg/m³.

It has space group F-43m (No. 216), with a = 6.350 Å, b = 6.350 Å, c = 6.350 Å, α = 90.00°, β = 90.00° and γ = 90.00°. The inequivalent atoms are Tb at (0.000, 0.000, 0.000), Zn at (0.000, 0.000, 0.500) and Cu at (0.250, 0.250, 0.250).


CrHg2Pb | PBE | optimized geometry

As for the formation enthalpy at 0 K: 36.3 kJ/mol of atoms. The calculation puts the calculated density at 11.51 Mg/m³.

It has space group I-4m2 (No. 119), with a = 4.495 Å, b = 4.495 Å, c = 9.434 Å, α = 90.00°, β = 90.00° and γ = 90.00°. The inequivalent atoms are Cr at (0.000, 0.000, 0.000), Hg at (0.000, 0.000, 0.500), Hg at (0.000, 0.500, 0.750) and Pb at (0.000, 0.500, 0.250).


LiGa2Ni2 | PBE | optimized geometry

For the distance to the lowest polymorph of the same formula, the calculation gives 3.81 kcal/mol of atoms. As for the formation enthalpy at 0 K: -22.7 kJ/mol of atoms. The calculation puts the calculated density at 5.85 Mg/m³.

It has space group I4/mmm (No. 139), with a = 3.674 Å, b = 3.674 Å, c = 11.098 Å, α = 90.00°, β = 90.00° and γ = 90.00°. The inequivalent atoms are Li at (0.000, 0.000, 0.000), Ga at (0.000, 0.000, 0.386) and Ni at (0.000, 0.500, 0.250).


ReSiNO2 | PBE | optimized geometry

The calculation puts the calculated density at 8.88 Mg/m³. The value obtained for the uncorrected formation energy is -219 meV/atom.

It has space group P4/mmm (No. 123), with a = 3.369 Å, b = 3.369 Å, c = 4.290 Å, α = 90.00°, β = 90.00° and γ = 90.00°. The inequivalent atoms are Re at (0.000, 0.000, 0.000), Si at (0.500, 0.500, 0.500), N at (0.500, 0.500, 0.000) and O at (0.000, 0.500, 0.500).


LaAlSeBr2 | PBE | optimized geometry

For the distance to the lowest polymorph of the same formula, the calculation gives 0.00 kcal/mol of atoms. The calculation puts the calculated density at 3.38 Mg/m³. The value obtained for the uncorrected formation energy is -991 meV/atom.

It has space group P4/mmm (No. 123), with a = 5.875 Å, b = 5.875 Å, c = 5.757 Å, α = 90.00°, β = 90.00° and γ = 90.00°. The inequivalent atoms are La at (0.000, 0.000, 0.000), Al at (0.500, 0.500, 0.500), Se at (0.000, 0.000, 0.500) and Br at (0.000, 0.500, 0.000).


Co3ReTc | PBE | optimized geometry

For the distance to the lowest polymorph of the same formula, the calculation gives 0.00 kcal/mol of atoms. As for the formation enthalpy at 0 K: 166.0 kJ/mol of atoms. The calculation puts the calculated density at 9.04 Mg/m³.

It has space group Pm-3m (No. 221), with a = 4.391 Å, b = 4.391 Å, c = 4.391 Å, α = 90.00°, β = 90.00° and γ = 90.00°. The inequivalent atoms are Co at (0.000, 0.000, 0.500), Re at (0.000, 0.000, 0.000) and Tc at (0.500, 0.500, 0.500).


NaAcH2 | PBE | optimized geometry

For the distance to the lowest polymorph of the same formula, the calculation gives 0.00 kcal/mol of atoms. The calculation puts the calculated density at 4.71 Mg/m³.

It has space group R-3m (No. 166, hexagonal axes), with a = 4.1739 Å, b = 4.1739 Å, c = 17.6580 Å, α = 90.00°, β = 90.00° and γ = 120.00°. The inequivalent atoms are Na at (0.0000, 0.0000, 0.0000), Ac at (0.0000, 0.0000, 0.5000) and H at (0.0000, 0.0000, 0.1323).


V3Co2Rh3 | PBE | optimized geometry

For the distance to the lowest polymorph of the same formula, the calculation gives 0.29 kcal/mol of atoms. As for the formation enthalpy at 0 K: -24.7 kJ/mol of atoms. The calculation puts the calculated density at 9.35 Mg/m³.

It has space group Pmmm (No. 47), with a = 3.684 Å, b = 3.762 Å, c = 7.423 Å, α = 90.00°, β = 90.00° and γ = 90.00°. The inequivalent atoms are V at (0.000, 0.000, 0.000), V at (0.000, 0.500, 0.255), Co at (0.500, 0.000, 0.250), Rh at (0.000, 0.000, 0.500), Rh at (0.500, 0.500, 0.000) and Rh at (0.500, 0.500, 0.500).


AlFeRu2 | PBE | optimized geometry

As for the formation enthalpy at 0 K: -15.8 kJ/mol of atoms. The calculation puts the calculated density at 8.83 Mg/m³.

It has space group I-4m2 (No. 119), with a = 3.672 Å, b = 3.672 Å, c = 7.953 Å, α = 90.00°, β = 90.00° and γ = 90.00°. The inequivalent atoms are Al at (0.000, 0.000, 0.000), Fe at (0.000, 0.500, 0.750), Ru at (0.000, 0.000, 0.500) and Ru at (0.000, 0.500, 0.250).


Rb2VHAu | PBE | optimized geometry

The total energy is -2.93 eV/atom. The calculation puts the calculated density at 4.50 Mg/m³.

It has space group P4/mmm (No. 123), with a = 6.570 Å, b = 6.570 Å, c = 3.587 Å, α = 90.00°, β = 90.00° and γ = 90.00°. The inequivalent atoms are Rb at (0.000, 0.500, 0.000), V at (0.000, 0.000, 0.500), H at (0.500, 0.500, 0.000) and Au at (0.500, 0.500, 0.500).